Entry P
VASP calculation (PBE) on a relaxed structure of AcFeAu.

CIF file:
```
data_AcFeAu
_space_group_name_H-M_alt 'P 1'
_space_group_IT_number 1
_cell_length_a 4.733
_cell_length_b 4.733
_cell_length_c 4.733
_cell_angle_alpha 60.00
_cell_angle_beta 60.00
_cell_angle_gamma 60.00
loop_
_space_group_symop_operation_xyz
'x,y,z'
loop_
_atom_site_label
_atom_site_type_symbol
_atom_site_fract_x
_atom_site_fract_y
_atom_site_fract_z
Ac1 Ac 0.000 0.000 0.000
Fe1 Fe 0.250 0.250 0.250
Au1 Au 0.500 0.500 0.500
```

Calculated values
**Volume**: 75.0 Å³ per cell



Entry Q
VASP calculation (PBE) on a relaxed structure of AcFeAu.

CIF file:
```
data_AcFeAu
_space_group_name_H-M_alt 'P 1'
_space_group_IT_number 1
_cell_length_a 5.047
_cell_length_b 5.047
_cell_length_c 5.047
_cell_angle_alpha 60.00
_cell_angle_beta 60.00
_cell_angle_gamma 60.00
loop_
_space_group_symop_operation_xyz
'x,y,z'
loop_
_atom_site_label
_atom_site_type_symbol
_atom_site_fract_x
_atom_site_fract_y
_atom_site_fract_z
Ac1 Ac 0.000 0.000 0.000
Fe1 Fe 0.250 0.250 0.250
Au1 Au 0.750 0.750 0.750
```

Calculated values
**Volume**: 90.9 Å³ per cell



entry P comes first in stability; the runner-up is 437 meV/atom higher.



Entry P
VASP calculation (PBE) on a relaxed structure of AcGa2Au2.

CIF file:
```
data_AcGa2Au2
_space_group_name_H-M_alt 'P 1'
_space_group_IT_number 1
_cell_length_a 4.606
_cell_length_b 4.606
_cell_length_c 10.505
_cell_angle_alpha 90.00
_cell_angle_beta 90.00
_cell_angle_gamma 90.00
loop_
_space_group_symop_operation_xyz
'x,y,z'
loop_
_atom_site_label
_atom_site_type_symbol
_atom_site_fract_x
_atom_site_fract_y
_atom_site_fract_z
Ac1 Ac 0.250 0.250 0.248
Ac2 Ac 0.750 0.750 0.752
Ga1 Ga 0.250 0.250 0.872
Ga2 Ga 0.250 0.750 0.500
Ga3 Ga 0.750 0.250 0.500
Ga4 Ga 0.750 0.750 0.128
Au1 Au 0.250 0.250 0.628
Au2 Au 0.250 0.750 0.000
Au3 Au 0.750 0.250 0.000
Au4 Au 0.750 0.750 0.372
```

Calculated values
**Volume**: 222.9 Å³ per cell



Entry Q
VASP calculation (PBE) on a relaxed structure of AcGa2Au2.

CIF file:
```
data_AcGa2Au2
_space_group_name_H-M_alt 'P 1'
_space_group_IT_number 1
_cell_length_a 6.562
_cell_length_b 6.562
_cell_length_c 6.562
_cell_angle_alpha 140.48
_cell_angle_beta 140.48
_cell_angle_gamma 57.13
loop_
_space_group_symop_operation_xyz
'x,y,z'
loop_
_atom_site_label
_atom_site_type_symbol
_atom_site_fract_x
_atom_site_fract_y
_atom_site_fract_z
Ac1 Ac 0.000 0.000 0.000
Ga1 Ga 0.250 0.750 0.500
Ga2 Ga 0.750 0.250 0.500
Au1 Au 0.378 0.378 0.000
Au2 Au 0.622 0.622 0.000
```

Calculated values
**Volume**: 113.5 Å³ per cell



entry P comes first in stability; the runner-up is 20 meV/atom higher.



Entry P
VASP calculation (PBE) on a relaxed structure of AcGeAu.

CIF file:
```
data_AcGeAu
_space_group_name_H-M_alt 'P 1'
_space_group_IT_number 1
_cell_length_a 5.156
_cell_length_b 5.156
_cell_length_c 5.156
_cell_angle_alpha 60.00
_cell_angle_beta 60.00
_cell_angle_gamma 60.00
loop_
_space_group_symop_operation_xyz
'x,y,z'
loop_
_atom_site_label
_atom_site_type_symbol
_atom_site_fract_x
_atom_site_fract_y
_atom_site_fract_z
Ac1 Ac 0.000 0.000 0.000
Ge1 Ge 0.250 0.250 0.250
Au1 Au 0.750 0.750 0.750
```

Calculated values
**Volume**: 96.9 Å³ per cell



Entry Q
VASP calculation (PBE) on a relaxed structure of AcGeAu.

CIF file:
```
data_AcGeAu
_space_group_name_H-M_alt 'P 1'
_space_group_IT_number 1
_cell_length_a 4.963
_cell_length_b 4.963
_cell_length_c 4.963
_cell_angle_alpha 60.00
_cell_angle_beta 60.00
_cell_angle_gamma 60.00
loop_
_space_group_symop_operation_xyz
'x,y,z'
loop_
_atom_site_label
_atom_site_type_symbol
_atom_site_fract_x
_atom_site_fract_y
_atom_site_fract_z
Ac1 Ac 0.000 0.000 0.000
Ge1 Ge 0.500 0.500 0.500
Au1 Au 0.250 0.250 0.250
```

Calculated values
**Volume**: 86.4 Å³ per cell



entry Q comes first in stability; the runner-up is 478 meV/atom higher.



Entry P
VASP calculation (PBE) on a relaxed structure of AcMgAu.

CIF file:
```
data_AcMgAu
_space_group_name_H-M_alt 'P 1'
_space_group_IT_number 1
_cell_length_a 5.235
_cell_length_b 5.235
_cell_length_c 5.235
_cell_angle_alpha 60.00
_cell_angle_beta 60.00
_cell_angle_gamma 60.00
loop_
_space_group_symop_operation_xyz
'x,y,z'
loop_
_atom_site_label
_atom_site_type_symbol
_atom_site_fract_x
_atom_site_fract_y
_atom_site_fract_z
Ac1 Ac 0.000 0.000 0.000
Mg1 Mg 0.250 0.250 0.250
Au1 Au 0.750 0.750 0.750
```

Calculated values
**Volume**: 101.4 Å³ per cell



Entry Q
VASP calculation (PBE) on a relaxed structure of AcMgAu.

CIF file:
```
data_AcMgAu
_space_group_name_H-M_alt 'P 1'
_space_group_IT_number 1
_cell_length_a 7.634
_cell_length_b 4.745
_cell_length_c 8.948
_cell_angle_alpha 90.00
_cell_angle_beta 90.00
_cell_angle_gamma 90.00
loop_
_space_group_symop_operation_xyz
'x,y,z'
loop_
_atom_site_label
_atom_site_type_symbol
_atom_site_fract_x
_atom_site_fract_y
_atom_site_fract_z
Ac1 Ac 0.036 0.250 0.180
Ac2 Ac 0.464 0.750 0.680
Ac3 Ac 0.536 0.250 0.320
Ac4 Ac 0.964 0.750 0.820
Mg1 Mg 0.135 0.250 0.558
Mg2 Mg 0.365 0.750 0.058
Mg3 Mg 0.635 0.250 0.942
Mg4 Mg 0.865 0.750 0.442
Au1 Au 0.233 0.750 0.382
Au2 Au 0.267 0.250 0.882
Au3 Au 0.733 0.750 0.118
Au4 Au 0.767 0.250 0.618
```

Calculated values
**Volume**: 324.1 Å³ per cell



entry Q comes first in stability; the runner-up is 698 meV/atom higher.



Entry P
VASP calculation (PBE) on a relaxed structure of AcAuNO.

CIF file:
```
data_AcAuNO
_space_group_name_H-M_alt 'P 1'
_space_group_IT_number 1
_cell_length_a 4.146
_cell_length_b 4.146
_cell_length_c 8.115
_cell_angle_alpha 90.00
_cell_angle_beta 90.00
_cell_angle_gamma 90.00
loop_
_space_group_symop_operation_xyz
'x,y,z'
loop_
_atom_site_label
_atom_site_type_symbol
_atom_site_fract_x
_atom_site_fract_y
_atom_site_fract_z
Ac1 Ac 0.250 0.250 0.161
Ac2 Ac 0.750 0.750 0.839
Au1 Au 0.250 0.750 0.500
Au2 Au 0.750 0.250 0.500
N1 N 0.250 0.250 0.644
N2 N 0.750 0.750 0.356
O1 O 0.250 0.750 0.000
O2 O 0.750 0.250 0.000
```

Calculated values
**Volume**: 139.5 Å³ per cell



Entry Q
VASP calculation (PBE) on a relaxed structure of AcAuNO.

CIF file:
```
data_AcAuNO
_space_group_name_H-M_alt 'P 1'
_space_group_IT_number 1
_cell_length_a 3.806
_cell_length_b 6.001
_cell_length_c 6.273
_cell_angle_alpha 90.00
_cell_angle_beta 90.00
_cell_angle_gamma 90.00
loop_
_space_group_symop_operation_xyz
'x,y,z'
loop_
_atom_site_label
_atom_site_type_symbol
_atom_site_fract_x
_atom_site_fract_y
_atom_site_fract_z
Ac1 Ac 0.000 0.145 0.000
Ac2 Ac 0.000 0.855 0.500
Au1 Au 0.500 0.403 0.584
Au2 Au 0.500 0.597 0.084
N1 N 0.000 0.379 0.593
N2 N 0.000 0.621 0.093
O1 O 0.500 0.031 0.247
O2 O 0.500 0.969 0.747
```

Calculated values
**Volume**: 143.3 Å³ per cell



entry Q comes first in stability; the runner-up is 69 meV/atom higher.



Entry P
VASP calculation (PBE) on a relaxed structure of AcAuNO.

CIF file:
```
data_AcAuNO
_space_group_name_H-M_alt 'P 1'
_space_group_IT_number 1
_cell_length_a 5.238
_cell_length_b 5.238
_cell_length_c 4.812
_cell_angle_alpha 90.00
_cell_angle_beta 90.00
_cell_angle_gamma 90.00
loop_
_space_group_symop_operation_xyz
'x,y,z'
loop_
_atom_site_label
_atom_site_type_symbol
_atom_site_fract_x
_atom_site_fract_y
_atom_site_fract_z
Ac1 Ac 0.250 0.750 0.000
Ac2 Ac 0.750 0.250 0.000
Au1 Au 0.250 0.250 0.496
Au2 Au 0.750 0.750 0.504
N1 N 0.250 0.250 0.995
N2 N 0.750 0.750 0.005
O1 O 0.250 0.750 0.500
O2 O 0.750 0.250 0.500
```

Calculated values
**Volume**: 132.0 Å³ per cell



Entry Q
VASP calculation (PBE) on a relaxed structure of AcAuNO.

CIF file:
```
data_AcAuNO
_space_group_name_H-M_alt 'P 1'
_space_group_IT_number 1
_cell_length_a 6.522
_cell_length_b 6.611
_cell_length_c 6.459
_cell_angle_alpha 90.00
_cell_angle_beta 90.00
_cell_angle_gamma 90.00
loop_
_space_group_symop_operation_xyz
'x,y,z'
loop_
_atom_site_label
_atom_site_type_symbol
_atom_site_fract_x
_atom_site_fract_y
_atom_site_fract_z
Ac1 Ac 0.017 0.206 0.000
Ac2 Ac 0.483 0.206 0.500
Ac3 Ac 0.517 0.794 0.000
Ac4 Ac 0.983 0.794 0.500
Au1 Au 0.023 0.699 0.013
Au2 Au 0.477 0.699 0.513
Au3 Au 0.523 0.301 0.013
Au4 Au 0.977 0.301 0.513
N1 N 0.161 0.453 0.324
N2 N 0.339 0.453 0.824
N3 N 0.661 0.547 0.324
N4 N 0.839 0.547 0.824
O1 O 0.194 0.921 0.185
O2 O 0.306 0.921 0.685
O3 O 0.694 0.079 0.185
O4 O 0.806 0.079 0.685
```

Calculated values
**Volume**: 278.5 Å³ per cell



entry Q comes first in stability; the runner-up is 221 meV/atom higher.